1.
Here is crystalline BaHPt3 at its relaxed geometry from Alexandria. Energies are from PBE.

Unit cell a=4.382 b=4.382 c=4.382 alpha=90.00 beta=90.00 gamma=90.00
Space group Pm-3m (No. 221)
Unique sites:
Ba (0.000, 0.000, 0.000) (multiplicity 1)
H (0.500, 0.500, 0.500) (multiplicity 1)
Pt (0.000, 0.500, 0.500) (multiplicity 3)

Values from the calculation:
DOS(E_F)	2.1	states/eV/cell
offset from the most stable computed form	0.000	eV/atom



2.
Here is crystalline BaH2Pt at its relaxed geometry from Alexandria. Energies are from PBE.

Unit cell a=13.568 b=4.688 c=4.825 alpha=90.00 beta=90.00 gamma=90.00
Space group Pnma (No. 62)
Unique sites:
Ba (0.123, 0.250, 0.245) (multiplicity 4)
H (0.054, 0.750, 0.485) (multiplicity 4)
H (0.203, 0.750, 0.035) (multiplicity 4)
Pt (0.128, 0.750, 0.760) (multiplicity 4)

Values from the calculation:
DOS(E_F)	0.0	states/eV/cell
offset from the most stable computed form	0.000	eV/atom



3.
Here is crystalline Ba2H3Pt2 at its relaxed geometry from Alexandria. Energies are from PBE.

Unit cell a=12.850 b=4.468 c=4.906 alpha=90.00 beta=90.89 gamma=90.00
Space group C2/m (No. 12)
Unique sites:
Ba (0.129, 0.000, 0.270) (multiplicity 4)
H (0.000, 0.500, 0.500) (multiplicity 2)
H (0.186, 0.500, 0.987) (multiplicity 4)
Pt (0.089, 0.500, 0.769) (multiplicity 4)

Values from the calculation:
DOS(E_F)	5.4	states/eV/cell



4.
Here is crystalline Ba3H6Pt at its relaxed geometry from Alexandria. Energies are from PBE.

Unit cell a=10.448 b=13.339 c=5.531 alpha=90.00 beta=90.00 gamma=90.00
Space group Cmc2_1 (No. 36)
Unique sites:
Ba (0.000, 0.113, 0.000) (multiplicity 4)
Ba (0.186, 0.386, 0.028) (multiplicity 8)
H (0.000, 0.283, 0.243) (multiplicity 4)
H (0.000, 0.430, 0.610) (multiplicity 4)
H (0.135, 0.249, 0.673) (multiplicity 8)
H (0.156, 0.005, 0.266) (multiplicity 8)
Pt (0.000, 0.303, 0.552) (multiplicity 4)



5.
Here is crystalline Ba3HPt at its relaxed geometry from Alexandria. Energies are from PBE.

Unit cell a=5.400 b=5.400 c=5.400 alpha=90.00 beta=90.00 gamma=90.00
Space group Pm-3m (No. 221)
Unique sites:
Ba (0.000, 0.000, 0.500) (multiplicity 3)
H (0.000, 0.000, 0.000) (multiplicity 1)
Pt (0.500, 0.500, 0.500) (multiplicity 1)

Values from the calculation:
DOS(E_F)	4.7	states/eV/cell
offset from the most stable computed form	0.329	eV/atom



6.
Here is crystalline Ba2H4Pt at its relaxed geometry from Alexandria. Energies are from PBE.

Unit cell a=3.978 b=3.978 c=16.274 alpha=90.00 beta=90.00 gamma=90.00
Space group I4/mmm (No. 139)
Unique sites:
Ba (0.000, 0.000, 0.127) (multiplicity 4)
H (0.000, 0.000, 0.394) (multiplicity 4)
H (0.000, 0.500, 0.000) (multiplicity 4)
Pt (0.000, 0.000, 0.500) (multiplicity 2)

Values from the calculation:
DOS(E_F)	3.2	states/eV/cell
offset from the most stable computed form	0.118	eV/atom



7.
Here is crystalline Ba2H4Pt at its relaxed geometry from Alexandria. Energies are from PBE.

Unit cell a=4.110 b=4.110 c=14.549 alpha=90.00 beta=90.00 gamma=90.00
Space group I4/mmm (No. 139)
Unique sites:
Ba (0.000, 0.000, 0.139) (multiplicity 4)
H (0.000, 0.000, 0.385) (multiplicity 4)
H (0.000, 0.500, 0.250) (multiplicity 4)
Pt (0.000, 0.000, 0.500) (multiplicity 2)

Values from the calculation:
DOS(E_F)	0.0	states/eV/cell
offset from the most stable computed form	0.000	eV/atom



8.
Here is crystalline Ba3HPt at its relaxed geometry from Alexandria. Energies are from PBE.

Unit cell a=7.637 b=4.631 c=11.183 alpha=90.00 beta=91.98 gamma=90.00
Space group P2_1/m (No. 11)
Unique sites:
Ba (0.075, 0.250, 0.154) (multiplicity 2)
Ba (0.268, 0.750, 0.483) (multiplicity 2)
Ba (0.405, 0.250, 0.824) (multiplicity 2)
H (0.075, 0.250, 0.916) (multiplicity 2)
Pt (0.420, 0.250, 0.320) (multiplicity 2)

Values from the calculation:
DOS(E_F)	6.9	states/eV/cell
offset from the most stable computed form	0.000	eV/atom



9.
Here is crystalline BaH2Pt at its relaxed geometry from Alexandria. Energies are from PBE.

Unit cell a=4.818 b=4.818 c=11.005 alpha=90.00 beta=90.00 gamma=90.00
Space group I4_1/amd (No. 141, origin choice 2)
Unique sites:
Ba (0.000, 0.250, 0.375) (multiplicity 4)
H (0.000, 0.000, 0.000) (multiplicity 8)
Pt (0.000, 0.250, 0.875) (multiplicity 4)

Values from the calculation:
DOS(E_F)	3.1	states/eV/cell
offset from the most stable computed form	0.161	eV/atom



10.
Here is crystalline BaHPt3 at its relaxed geometry from Alexandria. Energies are from PBE.

Unit cell a=5.508 b=5.508 c=5.508 alpha=90.00 beta=90.00 gamma=90.00
Space group Pm-3m (No. 221)
Unique sites:
Ba (0.000, 0.000, 0.000) (multiplicity 1)
H (0.500, 0.500, 0.500) (multiplicity 1)
Pt (0.000, 0.000, 0.500) (multiplicity 3)

Values from the calculation:
DOS(E_F)	1.4	states/eV/cell
offset from the most stable computed form	2.110	eV/atom



11.
Here is crystalline Ba2H4Pt at its relaxed geometry from Alexandria. Energies are from PBE.

Unit cell a=8.206 b=5.759 c=10.224 alpha=90.00 beta=90.00 gamma=90.00
Space group Pnma (No. 62)
Unique sites:
Ba (0.018, 0.250, 0.166) (multiplicity 4)
Ba (0.152, 0.750, 0.405) (multiplicity 4)
H (0.044, 0.750, 0.132) (multiplicity 4)
H (0.141, 0.250, 0.437) (multiplicity 4)
H (0.179, 0.003, 0.658) (multiplicity 8)
Pt (0.240, 0.750, 0.074) (multiplicity 4)

Values from the calculation:
offset from the most stable computed form	0.003	eV/atom



12.
Here is crystalline BaH3Pt at its relaxed geometry from Alexandria. Energies are from PBE.

Unit cell a=4.513 b=4.513 c=4.513 alpha=90.00 beta=90.00 gamma=90.00
Space group Pm-3m (No. 221)
Unique sites:
Ba (0.000, 0.000, 0.000) (multiplicity 1)
H (0.000, 0.000, 0.500) (multiplicity 3)
Pt (0.500, 0.500, 0.500) (multiplicity 1)

Values from the calculation:
DOS(E_F)	8.3	states/eV/cell



13.
Here is crystalline Ba4HPt2 at its relaxed geometry from Alexandria. Energies are from PBE.

Unit cell a=5.336 b=5.336 c=16.701 alpha=90.00 beta=90.00 gamma=90.00
Space group I4/mmm (No. 139)
Unique sites:
Ba (0.000, 0.000, 0.191) (multiplicity 4)
Ba (0.000, 0.500, 0.000) (multiplicity 4)
H (0.000, 0.000, 0.500) (multiplicity 2)
Pt (0.000, 0.000, 0.381) (multiplicity 4)

Values from the calculation:
DOS(E_F)	12.5	states/eV/cell



14.
Here is crystalline BaH3Pt at its relaxed geometry from Alexandria. Energies are from PBE.

Unit cell a=3.979 b=3.979 c=3.979 alpha=90.00 beta=90.00 gamma=90.00
Space group Pm-3m (No. 221)
Unique sites:
Ba (0.000, 0.000, 0.000) (multiplicity 1)
H (0.000, 0.500, 0.500) (multiplicity 3)
Pt (0.500, 0.500, 0.500) (multiplicity 1)

Values from the calculation:
DOS(E_F)	1.2	states/eV/cell



15.
Here is crystalline BaH8Pt2 at its relaxed geometry from Alexandria. Energies are from PBE.

Unit cell a=10.039 b=5.248 c=7.624 alpha=90.00 beta=129.54 gamma=90.00
Space group C2/m (No. 12)
Unique sites:
Ba (0.000, 0.000, 0.000) (multiplicity 2)
H (0.056, 0.500, 0.188) (multiplicity 4)
H (0.149, 0.500, 0.592) (multiplicity 4)
H (0.196, 0.311, 0.932) (multiplicity 8)
Pt (0.046, 0.500, 0.710) (multiplicity 4)

Values from the calculation:
DOS(E_F)	2.7	states/eV/cell
offset from the most stable computed form	0.000	eV/atom



16.
Here is crystalline BaH2Pt2 at its relaxed geometry from Alexandria. Energies are from PBE.

Unit cell a=3.913 b=3.913 c=11.097 alpha=90.00 beta=90.00 gamma=90.00
Space group I4/mmm (No. 139)
Unique sites:
Ba (0.000, 0.000, 0.000) (multiplicity 2)
H (0.000, 0.500, 0.250) (multiplicity 4)
Pt (0.000, 0.000, 0.272) (multiplicity 4)

Values from the calculation:
DOS(E_F)	3.7	states/eV/cell
offset from the most stable computed form	0.104	eV/atom



17.
Here is crystalline BaH8Pt2 at its relaxed geometry from Alexandria. Energies are from PBE.

Unit cell a=5.393 b=9.314 c=4.138 alpha=90.00 beta=90.24 gamma=90.00
Space group C2/m (No. 12)
Unique sites:
Ba (0.000, 0.000, 0.000) (multiplicity 2)
H (0.000, 0.333, 0.000) (multiplicity 4)
H (0.091, 0.500, 0.689) (multiplicity 4)
H (0.200, 0.199, 0.678) (multiplicity 8)
Pt (0.000, 0.333, 0.500) (multiplicity 4)

Values from the calculation:
offset from the most stable computed form	0.070	eV/atom



18.
Here is crystalline Ba8HPt3 at its relaxed geometry from Alexandria. Energies are from PBE.

Unit cell a=15.775 b=9.135 c=9.197 alpha=90.00 beta=125.47 gamma=90.00
Space group C2/m (No. 12)
Unique sites:
Ba (0.007, 0.250, 0.274) (multiplicity 8)
Ba (0.242, 0.000, 0.725) (multiplicity 4)
Ba (0.245, 0.500, 0.732) (multiplicity 4)
H (0.000, 0.000, 0.500) (multiplicity 2)
Pt (0.000, 0.500, 0.500) (multiplicity 2)
Pt (0.250, 0.250, 0.500) (multiplicity 4)

Values from the calculation:
DOS(E_F)	14.0	states/eV/cell



19.
Here is crystalline Ba5HPt at its relaxed geometry from Alexandria. Energies are from PBE.

Unit cell a=8.147 b=8.160 c=11.854 alpha=108.80 beta=107.58 gamma=95.29
Space group P-1 (No. 2)
Unique sites:
Ba (0.089, 0.153, 0.345) (multiplicity 2)
Ba (0.176, 0.427, 0.750) (multiplicity 2)
Ba (0.305, 0.191, 0.049) (multiplicity 2)
Ba (0.310, 0.747, 0.156) (multiplicity 2)
Ba (0.358, 0.742, 0.548) (multiplicity 2)
H (0.346, 0.096, 0.250) (multiplicity 2)
Pt (0.000, 0.500, 0.500) (multiplicity 1)
Pt (0.500, 0.500, 0.000) (multiplicity 1)

Values from the calculation:
DOS(E_F)	9.1	states/eV/cell



20.
Here is crystalline BaH3Pt at its relaxed geometry from Alexandria. Energies are from PBE.

Unit cell a=4.978 b=8.354 c=7.603 alpha=90.00 beta=97.28 gamma=90.00
Space group C2/c (No. 15)
Unique sites:
Ba (0.000, 0.175, 0.250) (multiplicity 4)
H (0.000, 0.485, 0.750) (multiplicity 4)
H (0.208, 0.097, 0.946) (multiplicity 8)
Pt (0.000, 0.500, 0.000) (multiplicity 4)

Values from the calculation:
DOS(E_F)	1.5	states/eV/cell



no.,E (eV/atom)
1,-4.75
2,-4.27
3,-4.30
4,-3.66
5,-3.22
6,-3.79
7,-3.91
8,-3.55
9,-4.11
10,-2.64
11,-3.91
12,-2.59
13,-3.69
14,-4.10
15,-3.88
16,-4.45
17,-3.81
18,-3.60
19,-3.07
20,-4.16